A relaxed MgHS2Cl crystal. Source: Alexandria, functional GGA-PBE.

- Energy: -13.00 eV/cell
- Distance to the lowest polymorph of the same formula: 0.488 eV per atom
- SG: P4/mmm

Cell lengths 5.065, 5.065, 4.954 Å; angles 90.00, 90.00, 90.00 degrees
Each line ends with the local moment (μB).
Atoms (fractional coordinates):
H (0.500, 0.500, 0.500)  0.38
S (0.000, 0.500, 0.000)  0.86
S (0.500, 0.000, 0.000)  0.86
Mg (0.000, 0.000, 0.000)  -0.01
Cl (0.000, 0.000, 0.500)  0.20